1.
Here is a relaxed structure of Sm8Dy2Tl from the Alexandria database. Energies are from PBE-GGA.

* energy above the lowest structure with this stoichiometry: 0.065 eV per atom
* E_tot: -49.05 eV per formula unit
* crystal system: orthorhombic
* SG: Immm
* total magnetic moment: 0.0 μB/f.u.

Cell: 9.9110 9.9110 9.9110 Å, 147.57 134.55 56.93°
Last column: nearest neighbours and their distance in Å.
Positions (direct):
Sm 0.1342 0.3626 0.7717  1 Tl 3.17, 2 Dy 3.41, 3 Sm 3.50-3.54
Sm 0.1803 0.1803 0.0000  8 Sm 3.54-3.72, 4 Dy 3.55-3.83
Sm 0.2613 0.0000 0.2613  2 Tl 3.41, 7 Sm 3.66-3.72, 2 Dy 3.82
Sm 0.4091 0.6374 0.7717  1 Tl 3.17, 2 Dy 3.41, 3 Sm 3.50-3.54
Sm 0.5909 0.3626 0.2283  1 Tl 3.17, 2 Dy 3.41, 3 Sm 3.50-3.54
Sm 0.7387 0.0000 0.7387  2 Tl 3.41, 7 Sm 3.66-3.72, 2 Dy 3.82
Sm 0.8197 0.8197 0.0000  8 Sm 3.54-3.72, 4 Dy 3.55-3.83
Sm 0.8658 0.6374 0.2283  1 Tl 3.17, 2 Dy 3.41, 3 Sm 3.50-3.54
Dy 0.3076 0.8076 0.5000  10 Sm 3.41-3.82
Dy 0.6924 0.1924 0.5000  10 Sm 3.41-3.82
Tl 0.0000 0.5000 0.5000  8 Sm 3.17-3.41

2.
Here is a relaxed structure of Sm3Dy2Tl from the Alexandria database. Energies are from PBE-GGA.

* energy above the lowest structure with this stoichiometry: 0.000 eV per atom
* E_tot: -26.38 eV per formula unit
* crystal system: orthorhombic
* SG: Cmmm
* total magnetic moment: 0.0 μB/f.u.

Cell: 8.0250 8.0250 4.9091 Å, 90.00 90.00 144.16°
Last column: nearest neighbours and their distance in Å.
Positions (direct):
Sm 0.0000 0.0000 0.0000  4 Tl 3.48, 4 Dy 3.49, 4 Sm 3.57
Sm 0.3307 0.6693 0.0000  6 Dy 3.48-3.55, 4 Sm 3.49-3.57, 2 Tl 3.56
Sm 0.6693 0.3307 0.0000  6 Dy 3.48-3.55, 4 Sm 3.49-3.57, 2 Tl 3.56
Dy 0.1628 0.8372 0.5000  8 Sm 3.48-3.55, 2 Tl 3.50, 2 Dy 3.63
Dy 0.8372 0.1628 0.5000  8 Sm 3.48-3.55, 2 Tl 3.50, 2 Dy 3.63
Tl 0.5000 0.5000 0.5000  8 Sm 3.48-3.56, 4 Dy 3.50

Number 1: ΔH_f (0 K) 0.03 eV/atom. Number 2: ΔH_f (0 K) -0.11 eV/atom.